No. 1
The following is a DFT calculation (PBE) of an optimized crystal structure of Tb3Tl3VTe8.

abc: 9.6190 9.6190 9.6190
angles: 53.43 53.43 53.43
Atoms (fractional coordinates):
Tb (0.0000, 0.5000, 0.5000)
Tb (0.5000, 0.0000, 0.5000)
Tb (0.5000, 0.5000, 0.0000)
Tl (0.0000, 0.0000, 0.5000)
Tl (0.0000, 0.5000, 0.0000)
Tl (0.5000, 0.0000, 0.0000)
V (0.0000, 0.0000, 0.0000)
Te (0.2204, 0.2204, 0.7618)
Te (0.2204, 0.7618, 0.2204)
Te (0.2382, 0.7796, 0.7796)
Te (0.2604, 0.2604, 0.2604)
Te (0.7396, 0.7396, 0.7396)
Te (0.7618, 0.2204, 0.2204)
Te (0.7796, 0.2382, 0.7796)
Te (0.7796, 0.7796, 0.2382)

The calculation puts the calculated volume at 532.6 Å³ per cell. For the size of the total moment, the calculation gives 1.35 Bohr magnetons per cell. The uncorrected formation energy comes out at -12.64 eV per formula unit.

No. 2
The following is a DFT calculation (PBE) of an optimized crystal structure of Rb2In2Sn2As.

abc: 4.5302 7.6635 9.3239
angles: 67.38 75.95 72.92
Atoms (fractional coordinates):
Rb (0.0432, 0.1746, 0.2369)
Rb (0.9568, 0.8254, 0.7631)
In (0.3173, 0.6352, 0.2303)
In (0.6827, 0.3648, 0.7697)
Sn (0.3060, 0.3262, 0.5616)
Sn (0.6940, 0.6738, 0.4384)
As (0.5000, 0.5000, 0.0000)

The calculation puts the calculated volume at 282.5 Å³ per cell. For the size of the total moment, the calculation gives 0.00 Bohr magnetons per cell. The value obtained for the formation energy from the elements is -105.1 meV per atom.

No. 3
The following is a DFT calculation (PBE) of an optimized crystal structure of RbRh2Br2.

abc: 9.1845 9.1845 9.1845
angles: 156.43 156.43 33.58
Atoms (fractional coordinates):
Rb (0.0000, 0.0000, 0.0000)
Rh (0.2500, 0.7500, 0.5000)
Rh (0.7500, 0.2500, 0.5000)
Br (0.3779, 0.3779, 0.0000)
Br (0.6221, 0.6221, 0.0000)

As for the relative energy among the computed polymorphs: 0.0000 eV per atom. The calculation puts the calculated volume at 123.8 Å³ per cell. For the size of the total moment, the calculation gives 2.31 Bohr magnetons per cell. The uncorrected formation energy comes out at -0.30 eV per formula unit.

No. 4
The following is a DFT calculation (PBE) of an optimized crystal structure of K2PbS2O8.

abc: 7.7777 7.7777 7.7777
angles: 42.17 42.17 42.17
Atoms (fractional coordinates):
K (0.2033, 0.2033, 0.2033)
K (0.7967, 0.7967, 0.7967)
Pb (0.0000, 0.0000, 0.0000)
S (0.4007, 0.4007, 0.4007)
S (0.5993, 0.5993, 0.5993)
O (0.2792, 0.2792, 0.7165)
O (0.2792, 0.7165, 0.2792)
O (0.2835, 0.7208, 0.7208)
O (0.3310, 0.3310, 0.3310)
O (0.6690, 0.6690, 0.6690)
O (0.7165, 0.2792, 0.2792)
O (0.7208, 0.2835, 0.7208)
O (0.7208, 0.7208, 0.2835)

As for the relative energy among the computed polymorphs: 0.0000 eV per atom. The calculation puts the calculated volume at 191.9 Å³ per cell. For the size of the total moment, the calculation gives 0.00 Bohr magnetons per cell. The uncorrected formation energy comes out at -22.01 eV per formula unit.

No. 5
The following is a DFT calculation (PBE) of an optimized crystal structure of Sr2DyReO6.

abc: 5.9019 5.9019 4.2213
angles: 90.00 90.00 90.00
Atoms (fractional coordinates):
Sr (0.0000, 0.5000, 0.0000)
Sr (0.5000, 0.0000, 0.0000)
Dy (0.0000, 0.0000, 0.5237)
Re (0.5000, 0.5000, 0.5283)
O (0.0000, 0.0000, 0.0260)
O (0.2670, 0.2670, 0.5421)
O (0.2670, 0.7330, 0.5421)
O (0.5000, 0.5000, 0.0416)
O (0.7330, 0.2670, 0.5421)
O (0.7330, 0.7330, 0.5421)

As for the relative energy among the computed polymorphs: 0.0738 eV per atom. The calculation puts the calculated volume at 147.0 Å³ per cell. For the size of the total moment, the calculation gives 1.96 Bohr magnetons per cell. The uncorrected formation energy comes out at -25.16 eV per formula unit.

No. 6
The following is a DFT calculation (PBE) of an optimized crystal structure of ScGaIO2.

abc: 4.1421 4.1421 6.1310
angles: 90.00 90.00 90.00
Atoms (fractional coordinates):
Sc (0.0000, 0.0000, 0.0000)
Ga (0.5000, 0.5000, 0.5000)
I (0.0000, 0.0000, 0.5000)
O (0.0000, 0.5000, 0.0000)
O (0.5000, 0.0000, 0.0000)

As for the relative energy among the computed polymorphs: 0.0000 eV per atom. The calculation puts the calculated volume at 105.2 Å³ per cell. For the size of the total moment, the calculation gives 0.00 Bohr magnetons per cell. The uncorrected formation energy comes out at -6.43 eV per formula unit.

No. 7
The following is a DFT calculation (PBE) of an optimized crystal structure of CuOsF2.

abc: 4.1330 4.1330 4.1330
angles: 60.00 60.00 60.00
Atoms (fractional coordinates):
Cu (0.0000, 0.0000, 0.0000)
Os (0.5000, 0.5000, 0.5000)
F (0.2500, 0.2500, 0.2500)
F (0.7500, 0.7500, 0.7500)

As for the relative energy among the computed polymorphs: 0.9813 eV per atom. The calculation puts the calculated volume at 49.9 Å³ per cell. For the size of the total moment, the calculation gives 3.47 Bohr magnetons per cell. The uncorrected formation energy comes out at 1.45 eV per formula unit.

No. 8
The following is a DFT calculation (PBE) of an optimized crystal structure of BaFeIr2.

abc: 2.9337 3.7079 7.4131
angles: 90.00 90.00 90.00
Atoms (fractional coordinates):
Ba (0.0000, 0.0000, 0.0000)
Fe (0.5000, 0.5000, 0.3549)
Ir (0.0000, 0.0000, 0.4970)
Ir (0.5000, 0.5000, 0.6866)

The calculation puts the calculated volume at 80.6 Å³ per cell. For the size of the total moment, the calculation gives 3.11 Bohr magnetons per cell. The value obtained for the formation energy from the elements is 433.2 meV per atom.

No. 9
The following is a DFT calculation (PBE) of an optimized crystal structure of BeS2Cl.

abc: 10.6274 10.6274 10.6274
angles: 15.93 15.93 15.93
Atoms (fractional coordinates):
Be (0.0000, 0.0000, 0.0000)
S (0.0602, 0.0602, 0.0602)
S (0.9398, 0.9398, 0.9398)
Cl (0.5000, 0.5000, 0.5000)

As for the relative energy among the computed polymorphs: 0.5039 eV per atom. The calculation puts the calculated volume at 78.8 Å³ per cell. For the size of the total moment, the calculation gives 0.00 Bohr magnetons per cell. The uncorrected formation energy comes out at 1.70 eV per formula unit.

No. 10
The following is a DFT calculation (PBE) of an optimized crystal structure of Cd2AgAu4.

abc: 7.7578 7.7578 7.7578
angles: 141.24 141.24 55.97
Atoms (fractional coordinates):
Cd (0.1110, 0.1110, 0.0000)
Cd (0.8890, 0.8890, 0.0000)
Ag (0.5000, 0.5000, 0.0000)
Au (0.0000, 0.5000, 0.5000)
Au (0.3039, 0.3039, 0.0000)
Au (0.5000, 0.0000, 0.5000)
Au (0.6961, 0.6961, 0.0000)

As for the relative energy among the computed polymorphs: 0.4140 eV per atom. The calculation puts the calculated volume at 181.6 Å³ per cell. For the size of the total moment, the calculation gives 0.00 Bohr magnetons per cell. The value obtained for the formation energy from the elements is 366.0 meV per atom.

No. 11
The following is a DFT calculation (PBE) of an optimized crystal structure of CuSbPb2S4.

abc: 8.0749 8.8493 6.0476
angles: 90.00 90.00 90.00
Atoms (fractional coordinates):
Cu (0.0000, 0.1825, 0.0000)
Cu (0.5000, 0.8175, 0.5000)
Sb (0.0000, 0.8838, 0.5280)
Sb (0.5000, 0.1162, 0.0280)
Pb (0.2181, 0.6531, 0.0321)
Pb (0.2819, 0.3469, 0.5321)
Pb (0.7181, 0.3469, 0.5321)
Pb (0.7819, 0.6531, 0.0321)
S (0.0000, 0.2032, 0.6128)
S (0.0000, 0.9218, 0.1132)
S (0.2464, 0.6954, 0.5719)
S (0.2536, 0.3046, 0.0719)
S (0.5000, 0.0782, 0.6132)
S (0.5000, 0.7968, 0.1128)
S (0.7464, 0.3046, 0.0719)
S (0.7536, 0.6954, 0.5719)

The calculation puts the calculated volume at 432.2 Å³ per cell. For the size of the total moment, the calculation gives 0.00 Bohr magnetons per cell. The uncorrected formation energy comes out at -2.27 eV per formula unit.

No. 12
The following is a DFT calculation (PBE) of an optimized crystal structure of FeSb.

abc: 6.4789 6.4789 6.4789
angles: 34.94 34.94 34.94
Atoms (fractional coordinates):
Fe (0.1579, 0.1579, 0.1579)
Fe (0.8421, 0.8421, 0.8421)
Sb (0.4105, 0.4105, 0.4105)
Sb (0.5895, 0.5895, 0.5895)

The calculation puts the calculated volume at 79.6 Å³ per cell. For the size of the total moment, the calculation gives 2.58 Bohr magnetons per cell. The uncorrected formation energy comes out at 0.25 eV per formula unit.

No. 13
The following is a DFT calculation (PBE) of an optimized crystal structure of PrLuHgGe.

abc: 5.2099 5.2099 5.2099
angles: 60.00 60.00 60.00
Atoms (fractional coordinates):
Pr (0.0000, 0.0000, 0.0000)
Lu (0.5000, 0.5000, 0.5000)
Hg (0.2500, 0.2500, 0.2500)
Ge (0.7500, 0.7500, 0.7500)

The calculation puts the calculated volume at 100.0 Å³ per cell. For the size of the total moment, the calculation gives 0.00 Bohr magnetons per cell. The value obtained for the formation energy from the elements is -511.4 meV per atom.

No. 14
The following is a DFT calculation (PBE) of an optimized crystal structure of KRh4O8.

abc: 7.3263 7.3263 7.3263
angles: 92.64 92.64 155.19
Atoms (fractional coordinates):
K (0.0000, 0.0000, 0.0000)
Rh (0.1490, 0.6661, 0.8151)
Rh (0.3339, 0.1490, 0.4828)
Rh (0.6661, 0.8510, 0.5172)
Rh (0.8510, 0.3339, 0.1849)
O (0.0451, 0.3385, 0.3836)
O (0.2992, 0.3485, 0.6477)
O (0.3385, 0.9549, 0.2933)
O (0.3485, 0.7008, 0.0494)
O (0.6515, 0.2992, 0.9506)
O (0.6615, 0.0451, 0.7067)
O (0.7008, 0.6515, 0.3523)
O (0.9549, 0.6615, 0.6164)

The calculation puts the calculated volume at 161.1 Å³ per cell. For the size of the total moment, the calculation gives 2.27 Bohr magnetons per cell. The uncorrected formation energy comes out at -11.83 eV per formula unit.

No. 15
The following is a DFT calculation (PBE) of an optimized crystal structure of Mg3Pa.

abc: 5.1372 5.1372 5.1372
angles: 60.00 60.00 60.00
Atoms (fractional coordinates):
Mg (0.0000, 0.0000, 0.0000)
Mg (0.2500, 0.2500, 0.2500)
Mg (0.7500, 0.7500, 0.7500)
Pa (0.5000, 0.5000, 0.5000)

As for the relative energy among the computed polymorphs: 0.0108 eV per atom. The calculation puts the calculated volume at 95.9 Å³ per cell. For the size of the total moment, the calculation gives 1.01 Bohr magnetons per cell. The value obtained for the formation energy from the elements is 343.9 meV per atom.

No. 16
The following is a DFT calculation (PBE) of an optimized crystal structure of CoPRh2.

abc: 2.8189 2.8189 6.5703
angles: 90.00 90.00 90.00
Atoms (fractional coordinates):
Co (0.0000, 0.0000, 0.0000)
P (0.0000, 0.0000, 0.5000)
Rh (0.5000, 0.5000, 0.2776)
Rh (0.5000, 0.5000, 0.7224)

The calculation puts the calculated volume at 52.2 Å³ per cell. For the size of the total moment, the calculation gives 2.51 Bohr magnetons per cell. The value obtained for the formation energy from the elements is -138.2 meV per atom.

No. 17
The following is a DFT calculation (PBE) of an optimized crystal structure of Co3CuBr.

abc: 4.3025 4.3025 4.3025
angles: 90.00 90.00 90.00
Atoms (fractional coordinates):
Co (0.0000, 0.0000, 0.5000)
Co (0.0000, 0.5000, 0.0000)
Co (0.5000, 0.0000, 0.0000)
Cu (0.5000, 0.5000, 0.5000)
Br (0.0000, 0.0000, 0.0000)

As for the relative energy among the computed polymorphs: 0.0000 eV per atom. The calculation puts the calculated volume at 79.6 Å³ per cell. For the size of the total moment, the calculation gives 3.01 Bohr magnetons per cell. The uncorrected formation energy comes out at 6.19 eV per formula unit.

No. 18
The following is a DFT calculation (PBE) of an optimized crystal structure of V2CuH.

abc: 7.6508 7.6508 7.6508
angles: 19.52 19.52 19.52
Atoms (fractional coordinates):
V (0.1116, 0.1116, 0.1116)
V (0.8884, 0.8884, 0.8884)
Cu (0.0000, 0.0000, 0.0000)
H (0.5000, 0.5000, 0.5000)

As for the relative energy among the computed polymorphs: 0.0592 eV per atom. The calculation puts the calculated volume at 43.7 Å³ per cell. For the size of the total moment, the calculation gives 0.00 Bohr magnetons per cell.

Values for E_tot, eV per atom, ordered as above
-4.525 -2.972 -3.863 -5.833 -7.532 -5.450 -4.404 -6.594 -3.033 -2.176 -4.302 -6.166 -4.066 -6.308 -3.226 -6.943 -4.180 -6.156